Record 1
First-principles (PBE-GGA) data for a relaxed structure of SiRhAu2, as listed in the Alexandria database.

Total moment, μB/cell: 0.00
Space group: No. 12
Formation energy without anion corrections, eV per atom: 0.02
ρ, g/cm3: 13.30

Cell and atoms, written as POSCAR:
```
SiRhAu2
1.0
5.345 0.000 0.000
0.000 9.932 0.000
-1.604 0.000 2.469
Si Rh Au
2 2 4
Direct
0.000 0.000 0.000 Si
0.500 0.500 0.000 Si
0.000 0.500 0.000 Rh
0.500 0.000 0.000 Rh
0.250 0.250 0.000 Au
0.250 0.750 0.000 Au
0.750 0.250 0.000 Au
0.750 0.750 0.000 Au
```

Record 2
First-principles (PBE-GGA) data for a relaxed structure of SiRh2Au, as listed in the Alexandria database.

Total moment, μB/cell: 0.00
Space group: No. 216
Formation energy without anion corrections, eV per atom: 0.04
ρ, g/cm3: 12.00

Cell and atoms, written as POSCAR:
```
SiRh2Au
1.0
6.201 0.000 0.000
0.000 6.201 0.000
0.000 0.000 6.201
Si Rh Au
4 8 4
Direct
0.000 0.000 0.000 Si
0.000 0.500 0.500 Si
0.500 0.000 0.500 Si
0.500 0.500 0.000 Si
0.000 0.000 0.500 Rh
0.000 0.500 0.000 Rh
0.250 0.250 0.250 Rh
0.250 0.750 0.750 Rh
0.500 0.000 0.000 Rh
0.500 0.500 0.500 Rh
0.750 0.250 0.750 Rh
0.750 0.750 0.250 Rh
0.250 0.250 0.750 Au
0.250 0.750 0.250 Au
0.750 0.250 0.250 Au
0.750 0.750 0.750 Au
```

Record 3
First-principles (PBE-GGA) data for a relaxed structure of SiRhAu2, as listed in the Alexandria database.

Total moment, μB/cell: 0.00
Space group: No. 216
Formation energy without anion corrections, eV per atom: 0.08
ρ, g/cm3: 13.62

Cell and atoms, written as POSCAR:
```
SiRhAu2
1.0
6.349 0.000 0.000
0.000 6.349 0.000
0.000 0.000 6.349
Si Rh Au
4 4 8
Direct
0.000 0.000 0.000 Si
0.000 0.500 0.500 Si
0.500 0.000 0.500 Si
0.500 0.500 0.000 Si
0.250 0.250 0.250 Rh
0.250 0.750 0.750 Rh
0.750 0.250 0.750 Rh
0.750 0.750 0.250 Rh
0.000 0.000 0.500 Au
0.000 0.500 0.000 Au
0.250 0.250 0.750 Au
0.250 0.750 0.250 Au
0.500 0.000 0.000 Au
0.500 0.500 0.500 Au
0.750 0.250 0.250 Au
0.750 0.750 0.750 Au
```

> total moment of number 3 (SiRhAu2)?

0.00 μB/cell